Record 1
{"formula": "Ac4Tl12Cd", "functional": "PBE", "state": "optimized geometry", "lattice": [[-2.420, 8.455, -0.580], [-6.779, -4.801, 2.947], [6.774, -0.740, 5.590]], "species": ["Tl", "Tl", "Tl", "Tl", "Tl", "Tl", "Tl", "Tl", "Tl", "Tl", "Tl", "Tl", "Ac", "Ac", "Ac", "Ac", "Cd"], "fractional_positions": [[0.000, 0.704, 0.704], [0.750, 0.500, 0.250], [0.704, 0.000, 0.704], [0.500, 0.750, 0.250], [0.000, 0.296, 0.296], [0.296, 0.000, 0.296], [0.500, 0.250, 0.750], [0.750, 0.250, 0.500], [0.250, 0.500, 0.750], [0.296, 0.296, 0.000], [0.704, 0.704, 0.000], [0.250, 0.750, 0.500], [0.500, 0.500, 0.500], [0.000, 0.000, 0.500], [0.500, 0.000, 0.000], [0.000, 0.500, 0.000], [0.000, 0.000, 0.000]], "delta_e_f_mev_per_atom": -263, "e_tot_ev_per_atom": -2.9534, "n_ef_per_ev_atom": 0.369, "space_group": "No. 229"}

Record 2
{"formula": "LiTl3Pd12", "functional": "PBE", "state": "optimized geometry", "lattice": [[-2.458, -1.513, -2.852], [3.101, -0.108, -2.615], [3.542, -14.817, 4.809]], "species": ["Pd", "Pd", "Pd", "Pd", "Pd", "Pd", "Pd", "Pd", "Pd", "Pd", "Pd", "Pd", "Tl", "Tl", "Tl", "Li"], "fractional_positions": [[0.000, 0.500, 0.629], [0.500, 0.500, 0.000], [0.500, 0.500, 0.759], [0.500, 0.000, 0.886], [0.000, 0.500, 0.886], [0.000, 0.500, 0.371], [0.000, 0.500, 0.114], [0.500, 0.500, 0.500], [0.500, 0.000, 0.371], [0.500, 0.000, 0.114], [0.500, 0.000, 0.629], [0.500, 0.500, 0.241], [0.000, 0.000, 0.500], [0.000, 0.000, 0.243], [0.000, 0.000, 0.757], [0.000, 0.000, 0.000]], "delta_e_f_mev_per_atom": -190, "e_tot_ev_per_atom": -4.6475, "n_ef_per_ev_atom": 1.170, "space_group": "No. 123"}

Record 3
{"formula": "K2MoRh", "functional": "PBE", "state": "optimized geometry", "lattice": [[4.410, -0.061, -0.038], [3.416, 2.789, -0.038], [0.431, 0.150, 9.991]], "species": ["Rh", "Mo", "K", "K"], "fractional_positions": [[0.756, 0.756, 0.666], [0.487, 0.487, 0.589], [0.014, 0.014, 0.911], [0.244, 0.244, 0.334]], "delta_e_f_mev_per_atom": 668, "e_tot_ev_per_atom": -4.4261, "n_ef_per_ev_atom": 0.898, "space_group": "No. 8"}

Record 4
{"formula": "MgSb2W", "functional": "PBE", "state": "optimized geometry", "lattice": [[4.951, 0.000, 0.000], [2.475, 4.288, 0.000], [2.475, 1.429, 4.042]], "species": ["Sb", "Sb", "Mg", "W"], "fractional_positions": [[0.250, 0.250, 0.250], [0.000, 0.000, 0.000], [0.500, 0.500, 0.500], [0.750, 0.750, 0.750]], "e_form_raw_mev_per_atom": 802, "e_tot_ev_per_atom": -4.8963, "n_ef_per_ev_atom": 0.458, "space_group": "No. 216"}